No. 1
A plane-wave DFT calculation with meta-GGA SCAN was carried out for a crystal of La2TcHgBr relaxed with PBEsol.

Values from the calculation:
The space group is P4/mmm. The calculation puts the uncorrected formation energy at 0.4 eV per formula unit. For the total moment, the calculation gives 0.009 μB/f.u. The total energy comes out at -41.704 eV/atom.

abc: 5.6128 5.6128 4.4932
angles: 90.00 90.00 90.00
Closest atoms and distances in Å follow each position.
Fractional coordinates of all 5 atoms:
La 0.0000 0.5000 0.0000  2 Br 2.81
La 0.5000 0.0000 0.0000  2 Br 2.81
Tc 0.0000 0.0000 0.5000  2 Br 2.25
Hg 0.5000 0.5000 0.5000  8 La 3.59, 4 Tc 3.97
Br 0.0000 0.0000 0.0000  2 Tc 2.25


No. 2
A plane-wave DFT calculation with meta-GGA SCAN was carried out for a crystal of LaTcHgBr2 relaxed with PBEsol.

Values from the calculation:
The space group is P4/mmm. The calculation puts the uncorrected formation energy at 3.4 eV per formula unit. For the total moment, the calculation gives 3.840 μB/f.u. The total energy comes out at -36.361 eV/atom.

abc: 5.3035 5.3035 6.0279
angles: 90.00 90.00 90.00
Closest atoms and distances in Å follow each position.
Fractional coordinates of all 5 atoms:
La 0.0000 0.0000 0.0000  2 Hg 3.01
Tc 0.5000 0.5000 0.0000  4 La 3.75, 8 Br 4.01
Hg 0.0000 0.0000 0.5000  4 Br 2.65
Br 0.0000 0.5000 0.5000  2 Hg 2.65
Br 0.5000 0.0000 0.5000  2 Hg 2.65


No. 3
A plane-wave DFT calculation with meta-GGA SCAN was carried out for a crystal of LiHgBr3 relaxed with PBEsol.

Values from the calculation:
The space group is Pm-3m. The calculation puts the uncorrected formation energy at -3.1 eV per formula unit. For the total moment, the calculation gives 0.000 μB/f.u. The total energy comes out at -26.405 eV/atom.

abc: 5.4726 5.4726 5.4726
angles: 90.00 90.00 90.00
Closest atoms and distances in Å follow each position.
Fractional coordinates of all 5 atoms:
Li 0.0000 0.0000 0.0000  12 Br 3.87
Hg 0.5000 0.5000 0.5000  6 Br 2.74
Br 0.0000 0.5000 0.5000  2 Hg 2.74
Br 0.5000 0.0000 0.5000  2 Hg 2.74
Br 0.5000 0.5000 0.0000  2 Hg 2.74


No. 4
A plane-wave DFT calculation with meta-GGA SCAN was carried out for a crystal of LiHg2Br relaxed with PBEsol.

Values from the calculation:
The space group is F-43m. The calculation puts the uncorrected formation energy at -2.0 eV per formula unit. For the total moment, the calculation gives 0.000 μB/f.u. The value obtained for the energy above the lowest structure with this stoichiometry is 0.248 eV per atom. The total energy comes out at -40.051 eV/atom.

abc: 5.2082 5.2082 5.2082
angles: 60.00 60.00 60.00
Closest atoms and distances in Å follow each position.
Fractional coordinates of all 4 atoms:
Li 0.0000 0.0000 0.0000  4 Hg 3.19, 4 Br 3.19
Hg 0.5000 0.5000 0.5000  4 Hg 3.19, 4 Br 3.19
Hg 0.7500 0.7500 0.7500  4 Hg 3.19, 4 Li 3.19
Br 0.2500 0.2500 0.2500  4 Hg 3.19, 4 Li 3.19


No. 5
A plane-wave DFT calculation with meta-GGA SCAN was carried out for a crystal of LiHg2Br relaxed with PBEsol.

Values from the calculation:
The space group is P4/mmm. The calculation puts the uncorrected formation energy at -1.8 eV per formula unit. For the total moment, the calculation gives 0.000 μB/f.u. The value obtained for the energy above the lowest structure with this stoichiometry is 0.310 eV per atom. The total energy comes out at -39.989 eV/atom.

abc: 3.4935 3.4935 7.6556
angles: 90.00 90.00 90.00
Closest atoms and distances in Å follow each position.
Fractional coordinates of all 4 atoms:
Li 0.0000 0.0000 0.0000  8 Hg 3.06
Hg 0.5000 0.5000 0.2365  4 Li 3.06, 4 Br 3.19
Hg 0.5000 0.5000 0.7635  4 Li 3.06, 4 Br 3.19
Br 0.0000 0.0000 0.5000  8 Hg 3.19, 4 Br 3.49


No. 6
A plane-wave DFT calculation with meta-GGA SCAN was carried out for a crystal of LiHg2Br relaxed with PBEsol.

Values from the calculation:
The space group is P4/mmm. The calculation puts the uncorrected formation energy at -2.7 eV per formula unit. For the total moment, the calculation gives 0.000 μB/f.u. The value obtained for the energy above the lowest structure with this stoichiometry is 0.091 eV per atom. The total energy comes out at -40.209 eV/atom.

abc: 4.0213 4.0213 6.2901
angles: 90.00 90.00 90.00
Closest atoms and distances in Å follow each position.
Fractional coordinates of all 4 atoms:
Li 0.0000 0.0000 0.0000  4 Br 2.84
Hg 0.0000 0.5000 0.5000  4 Hg 2.84
Hg 0.5000 0.0000 0.5000  4 Hg 2.84
Br 0.5000 0.5000 0.0000  4 Li 2.84


No. 7
A plane-wave DFT calculation with meta-GGA SCAN was carried out for a crystal of LiHg2Br relaxed with PBEsol.

Values from the calculation:
The space group is R3m. The calculation puts the uncorrected formation energy at -3.0 eV per formula unit. For the total moment, the calculation gives 0.000 μB/f.u. The value obtained for the energy above the lowest structure with this stoichiometry is 0.016 eV per atom. The total energy comes out at -40.284 eV/atom.

abc: 8.4518 8.4518 8.4518
angles: 26.42 26.42 26.42
Closest atoms and distances in Å follow each position.
Fractional coordinates of all 4 atoms:
Li 0.0000 0.0000 0.0000  3 Br 2.44
Hg 0.5158 0.5158 0.5158  3 Hg 3.14, 3 Br 3.50
Hg 0.7585 0.7585 0.7585  3 Hg 3.14, 3 Li 3.16
Br 0.2929 0.2929 0.2929  3 Li 2.44


No. 8
A plane-wave DFT calculation with meta-GGA SCAN was carried out for a crystal of LiHg2Br relaxed with PBEsol.

Values from the calculation:
The space group is Pm. The calculation puts the uncorrected formation energy at -3.0 eV per formula unit. For the total moment, the calculation gives 0.000 μB/f.u. The value obtained for the energy above the lowest structure with this stoichiometry is 0.000 eV per atom. The total energy comes out at -40.299 eV/atom.

abc: 3.6307 3.6093 8.4255
angles: 90.00 102.09 90.00
Closest atoms and distances in Å follow each position.
Fractional coordinates of all 4 atoms:
Li 0.0000 0.0000 0.0000  4 Br 2.56
Hg 0.1811 0.0000 0.3643  1 Li 3.00, 4 Hg 3.21-3.22
Hg 0.7941 0.5000 0.6006  4 Hg 3.21-3.22
Br 0.4975 0.5000 0.9948  4 Li 2.56